A plane-wave DFT calculation with PBE+U was carried out for an optimized crystal structure of Li7Mn2Co3O12.

Values from the calculation:
- polymorph energy (0 for the lowest one) (kJ per mole of atoms) = 3.1
- volume (Å³ per cell) = 212.8

Lattice parameters (Å, degrees): 2.9035 8.2647 9.7380 65.58 90.00 90.00
With the nearest neighbours (Å) after each atom.
Atoms (fractional coordinates):
1 Li 0.5000 0.6632 0.1598  4 O 1.97-2.12
2 Li 0.5000 0.1704 0.1640  6 O 2.08-2.15
3 Li 0.0000 0.8555 0.3267  4 O 1.99-2.17
4 Li 0.5000 0.9970 0.4966  5 O 2.00-2.17
5 Li 0.5000 0.3307 0.8490  4 O 1.97-2.14
6 Li 0.0000 0.1683 0.6590  6 O 2.06-2.22
7 Li 0.0000 0.4744 0.0168  3 O 2.03-2.09
8 Co 0.5000 0.8262 0.8342  6 O 1.99-2.09
9 Co 0.0000 0.6663 0.6663  6 O 1.94-1.96
10 Co 0.0000 0.3118 0.3254  3 O 1.79-1.98
11 Mn 0.5000 0.5052 0.4981  6 O 1.89-1.97
12 Mn 0.0000 0.0093 0.0006  5 O 1.83-1.99
13 O 0.5000 0.2766 0.4968  1 Mn 1.89, 2 Li 2.06
14 O 0.0000 0.0880 0.3421  1 Co 1.79, 3 Li 1.99-2.00
15 O 0.0000 0.7684 0.9866  2 Co 1.99, 1 Mn 2.05, 2 Li 2.12
16 O 0.5000 0.5938 0.8123  3 Co 1.94-2.02, 1 Li 2.05
17 O 0.5000 0.9245 0.1451  2 Mn 1.94, 2 Li 2.10-2.12
18 O 0.0000 0.4399 0.6479  1 Co 1.95, 2 Mn 1.97
19 O 0.0000 0.2317 0.9976  1 Mn 1.83, 2 Li 1.97
20 O 0.5000 0.4171 0.1763  4 Li 1.97-2.09, 2 Co 1.98
21 O 0.5000 0.7325 0.5180  2 Co 1.96, 1 Mn 1.97, 1 Li 2.11
22 O 0.5000 0.0721 0.8478  2 Mn 1.99, 1 Co 2.09, 3 Li 2.14-2.22
23 O 0.0000 0.5820 0.3544  2 Mn 1.93, 1 Li 2.16
24 O 0.0000 0.8950 0.6785  3 Co 1.94-2.00, 2 Li 2.17